# 1
# K2Rb9Hg3 PBE relaxed
# * electronic total energy: -0.93 eV/atom
data_K2Rb9Hg3
_chemical_formula_sum 'K8 Rb36 Hg12'
_cell_length_a 20.6637
_cell_length_b 11.8090
_cell_length_c 16.2887
_cell_angle_alpha 90.00
_cell_angle_beta 114.78
_cell_angle_gamma 90.00
_symmetry_space_group_name_H-M 'C 1 2/c 1'
_symmetry_Int_Tables_number 15
loop_
_symmetry_equiv_pos_as_xyz
'x,y,z'
'-x,-y,-z'
'-x,y,-z+1/2'
'x,-y,z+1/2'
'x+1/2,y+1/2,z'
'-x+1/2,-y+1/2,-z'
'-x+1/2,y+1/2,-z+1/2'
'x+1/2,-y+1/2,z+1/2'
loop_
_atom_site_label
_atom_site_type_symbol
_atom_site_fract_x
_atom_site_fract_y
_atom_site_fract_z
_atom_site_occupancy
K1 K 0.1697 0.0847 0.2501 1
Rb1 Rb 0.0000 0.3280 0.2500 1
Rb2 Rb 0.0593 0.0629 0.9279 1
Rb3 Rb 0.1054 0.4085 0.0467 1
Rb4 Rb 0.1279 0.2904 0.7482 1
Rb5 Rb 0.2351 0.4076 0.4291 1
Hg1 Hg 0.0836 0.2526 0.5000 1
Hg2 Hg 0.2500 0.2500 0.0000 1


# 2
# K4Rb7Hg PBE relaxed
# * electronic total energy: -0.98 eV/atom
data_K4Rb7Hg
_chemical_formula_sum 'K8 Rb14 Hg2'
_cell_length_a 15.5382
_cell_length_b 7.1996
_cell_length_c 17.1266
_cell_angle_alpha 90.00
_cell_angle_beta 103.53
_cell_angle_gamma 90.00
_symmetry_space_group_name_H-M 'C 1 2/m 1'
_symmetry_Int_Tables_number 12
loop_
_symmetry_equiv_pos_as_xyz
'x,y,z'
'-x,-y,-z'
'-x,y,-z'
'x,-y,z'
'x+1/2,y+1/2,z'
'-x+1/2,-y+1/2,-z'
'-x+1/2,y+1/2,-z'
'x+1/2,-y+1/2,z'
loop_
_atom_site_label
_atom_site_type_symbol
_atom_site_fract_x
_atom_site_fract_y
_atom_site_fract_z
_atom_site_occupancy
K1 K 0.0428 0.0000 0.3073 1
K2 K 0.1768 0.5000 0.7657 1
Rb1 Rb 0.0000 0.5000 0.5000 1
Rb2 Rb 0.0901 0.5000 0.1377 1
Rb3 Rb 0.1400 0.0000 0.9558 1
Rb4 Rb 0.2370 0.0000 0.5933 1
Hg1 Hg 0.0000 0.0000 0.5000 1


# 3
# K3Rb5Hg PBE relaxed
# * electronic total energy: -0.92 eV/atom
data_K3Rb5Hg
_chemical_formula_sum 'K12 Rb20 Hg4'
_cell_length_a 20.4979
_cell_length_b 14.6795
_cell_length_c 13.0759
_cell_angle_alpha 90.00
_cell_angle_beta 128.41
_cell_angle_gamma 90.00
_symmetry_space_group_name_H-M 'C 1 2/m 1'
_symmetry_Int_Tables_number 12
loop_
_symmetry_equiv_pos_as_xyz
'x,y,z'
'-x,-y,-z'
'-x,y,-z'
'x,-y,z'
'x+1/2,y+1/2,z'
'-x+1/2,-y+1/2,-z'
'-x+1/2,y+1/2,-z'
'x+1/2,-y+1/2,z'
loop_
_atom_site_label
_atom_site_type_symbol
_atom_site_fract_x
_atom_site_fract_y
_atom_site_fract_z
_atom_site_occupancy
K1 K 0.0000 0.0000 0.0000 1
K2 K 0.0000 0.0000 0.5000 1
K3 K 0.2119 0.5000 0.3076 1
K4 K 0.2475 0.5000 0.6691 1
Rb1 Rb 0.0000 0.2929 0.0000 1
Rb2 Rb 0.0512 0.5000 0.7417 1
Rb3 Rb 0.1121 0.2360 0.4516 1
Rb4 Rb 0.1654 0.0000 0.9013 1
Hg1 Hg 0.0775 0.0000 0.3264 1


# 4
# K3Rb2Hg9 PBE relaxed
# * electronic total energy: -0.79 eV/atom
data_K3Rb2Hg9
_chemical_formula_sum 'K6 Rb4 Hg18'
_cell_length_a 5.4524
_cell_length_b 10.8689
_cell_length_c 17.1897
_cell_angle_alpha 90.00
_cell_angle_beta 90.00
_cell_angle_gamma 90.00
_symmetry_space_group_name_H-M 'I m m m'
_symmetry_Int_Tables_number 71
_symmetry_space_group_name_Hall '-I 2 2'
loop_
_atom_site_label
_atom_site_type_symbol
_atom_site_fract_x
_atom_site_fract_y
_atom_site_fract_z
_atom_site_occupancy
K1 K 0.0000 0.0000 0.0000 1
K2 K 0.0000 0.0000 0.2859 1
Rb1 Rb 0.0000 0.2108 0.5000 1
Hg1 Hg 0.0000 0.2758 0.1430 1
Hg2 Hg 0.0000 0.3585 0.3164 1
Hg3 Hg 0.0000 0.5000 0.0000 1


# 5
# K5Rb4Hg3 PBE relaxed
# * electronic total energy: -0.95 eV/atom
data_K5Rb4Hg3
_chemical_formula_sum 'K10 Rb8 Hg6'
_cell_length_a 21.3449
_cell_length_b 6.7844
_cell_length_c 10.3099
_cell_angle_alpha 90.00
_cell_angle_beta 111.64
_cell_angle_gamma 90.00
_symmetry_space_group_name_H-M 'C 1 2/m 1'
_symmetry_Int_Tables_number 12
loop_
_symmetry_equiv_pos_as_xyz
'x,y,z'
'-x,-y,-z'
'-x,y,-z'
'x,-y,z'
'x+1/2,y+1/2,z'
'-x+1/2,-y+1/2,-z'
'-x+1/2,y+1/2,-z'
'x+1/2,-y+1/2,z'
loop_
_atom_site_label
_atom_site_type_symbol
_atom_site_fract_x
_atom_site_fract_y
_atom_site_fract_z
_atom_site_occupancy
K1 K 0.0000 0.0000 0.0000 1
K2 K 0.0578 0.5000 0.7212 1
K3 K 0.1676 0.5000 0.2665 1
Rb1 Rb 0.1209 0.0000 0.4706 1
Rb2 Rb 0.1838 0.0000 0.9476 1
Hg1 Hg 0.0000 0.5000 0.0000 1
Hg2 Hg 0.2211 0.5000 0.6677 1


# 6
# K9Rb2Hg PBE relaxed
# * electronic total energy: -1.03 eV/atom
data_K9Rb2Hg
_chemical_formula_sum 'K9 Rb2 Hg1'
_cell_length_a 6.4894
_cell_length_b 6.4894
_cell_length_c 19.1761
_cell_angle_alpha 90.00
_cell_angle_beta 90.00
_cell_angle_gamma 90.00
_symmetry_space_group_name_H-M 'P 4/m m m'
_symmetry_Int_Tables_number 123
_symmetry_space_group_name_Hall '-P 4 2'
loop_
_atom_site_label
_atom_site_type_symbol
_atom_site_fract_x
_atom_site_fract_y
_atom_site_fract_z
_atom_site_occupancy
K1 K 0.0000 0.0000 0.0000 1
K2 K 0.0000 0.0000 0.3164 1
K3 K 0.0000 0.5000 0.1327 1
K4 K 0.0000 0.5000 0.5000 1
Rb1 Rb 0.5000 0.5000 0.3169 1
Hg1 Hg 0.5000 0.5000 0.0000 1


# 7
# K5Rb5Hg PBE relaxed
# * electronic total energy: -0.96 eV/atom
data_K5Rb5Hg
_chemical_formula_sum 'K10 Rb10 Hg2'
_cell_length_a 21.5564
_cell_length_b 7.2750
_cell_length_c 14.1867
_cell_angle_alpha 90.00
_cell_angle_beta 130.42
_cell_angle_gamma 90.00
_symmetry_space_group_name_H-M 'C 1 2/m 1'
_symmetry_Int_Tables_number 12
loop_
_symmetry_equiv_pos_as_xyz
'x,y,z'
'-x,-y,-z'
'-x,y,-z'
'x,-y,z'
'x+1/2,y+1/2,z'
'-x+1/2,-y+1/2,-z'
'-x+1/2,y+1/2,-z'
'x+1/2,-y+1/2,z'
loop_
_atom_site_label
_atom_site_type_symbol
_atom_site_fract_x
_atom_site_fract_y
_atom_site_fract_z
_atom_site_occupancy
K1 K 0.0000 0.0000 0.0000 1
K2 K 0.0055 0.5000 0.1781 1
K3 K 0.2445 0.0000 0.2452 1
Rb1 Rb 0.0000 0.5000 0.5000 1
Rb2 Rb 0.1611 0.0000 0.8444 1
Rb3 Rb 0.1635 0.0000 0.4814 1
Hg1 Hg 0.0000 0.0000 0.5000 1


# 8
# K4Rb5Hg PBE relaxed
# * electronic total energy: -0.98 eV/atom
data_K4Rb5Hg
_chemical_formula_sum 'K8 Rb10 Hg2'
_cell_length_a 23.7399
_cell_length_b 4.7927
_cell_length_c 13.5933
_cell_angle_alpha 90.00
_cell_angle_beta 99.94
_cell_angle_gamma 90.00
_symmetry_space_group_name_H-M 'C 1 2/m 1'
_symmetry_Int_Tables_number 12
loop_
_symmetry_equiv_pos_as_xyz
'x,y,z'
'-x,-y,-z'
'-x,y,-z'
'x,-y,z'
'x+1/2,y+1/2,z'
'-x+1/2,-y+1/2,-z'
'-x+1/2,y+1/2,-z'
'x+1/2,-y+1/2,z'
loop_
_atom_site_label
_atom_site_type_symbol
_atom_site_fract_x
_atom_site_fract_y
_atom_site_fract_z
_atom_site_occupancy
K1 K 0.0023 0.0000 0.1859 1
K2 K 0.1533 0.5000 0.0440 1
Rb1 Rb 0.0000 0.5000 0.5000 1
Rb2 Rb 0.1707 0.0000 0.7360 1
Rb3 Rb 0.1719 0.0000 0.3813 1
Hg1 Hg 0.0000 0.5000 0.0000 1


# 9
# K10RbHg3 PBE relaxed
# * electronic total energy: -1.02 eV/atom
data_K10RbHg3
_chemical_formula_sum 'K80 Rb8 Hg24'
_cell_length_a 18.6899
_cell_length_b 18.6899
_cell_length_c 18.6899
_cell_angle_alpha 90.00
_cell_angle_beta 90.00
_cell_angle_gamma 90.00
_symmetry_space_group_name_H-M 'F m -3 m'
_symmetry_Int_Tables_number 225
_symmetry_space_group_name_Hall '-F 4 2 3'
loop_
_atom_site_label
_atom_site_type_symbol
_atom_site_fract_x
_atom_site_fract_y
_atom_site_fract_z
_atom_site_occupancy
K1 K 0.0000 0.1673 0.1673 1
K2 K 0.1126 0.1126 0.3874 1
Rb1 Rb 0.2500 0.2500 0.2500 1
Hg1 Hg 0.0000 0.0000 0.2684 1


# 10
# KRb6Hg6 PBE relaxed
# * electronic total energy: -0.82 eV/atom
data_KRb6Hg6
_chemical_formula_sum 'K2 Rb12 Hg12'
_cell_length_a 7.3936
_cell_length_b 12.4973
_cell_length_c 13.0215
_cell_angle_alpha 90.00
_cell_angle_beta 90.00
_cell_angle_gamma 90.00
_symmetry_space_group_name_H-M 'I m m m'
_symmetry_Int_Tables_number 71
_symmetry_space_group_name_Hall '-I 2 2'
loop_
_atom_site_label
_atom_site_type_symbol
_atom_site_fract_x
_atom_site_fract_y
_atom_site_fract_z
_atom_site_occupancy
K1 K 0.0000 0.0000 0.0000 1
Rb1 Rb 0.0000 0.0000 0.3398 1
Rb2 Rb 0.0000 0.3155 0.0000 1
Rb3 Rb 0.0000 0.5000 0.3278 1
Hg1 Hg 0.0000 0.2580 0.5000 1
Hg2 Hg 0.2500 0.2500 0.2500 1


# 11
# KRb8Hg2 PBE relaxed
# * electronic total energy: -0.93 eV/atom
data_KRb8Hg2
_chemical_formula_sum 'K2 Rb16 Hg4'
_cell_length_a 11.9503
_cell_length_b 17.5881
_cell_length_c 7.5033
_cell_angle_alpha 90.00
_cell_angle_beta 102.81
_cell_angle_gamma 90.00
_symmetry_space_group_name_H-M 'C 1 2/m 1'
_symmetry_Int_Tables_number 12
loop_
_symmetry_equiv_pos_as_xyz
'x,y,z'
'-x,-y,-z'
'-x,y,-z'
'x,-y,z'
'x+1/2,y+1/2,z'
'-x+1/2,-y+1/2,-z'
'-x+1/2,y+1/2,-z'
'x+1/2,-y+1/2,z'
loop_
_atom_site_label
_atom_site_type_symbol
_atom_site_fract_x
_atom_site_fract_y
_atom_site_fract_z
_atom_site_occupancy
K1 K 0.0000 0.0000 0.0000 1
Rb1 Rb 0.0000 0.2577 0.0000 1
Rb2 Rb 0.1060 0.5000 0.7872 1
Rb3 Rb 0.1980 0.1351 0.5849 1
Hg1 Hg 0.0000 0.3155 0.5000 1


# 12
# K2Rb4Hg PBE relaxed
# * electronic total energy: -0.95 eV/atom
data_K2Rb4Hg
_chemical_formula_sum 'K4 Rb8 Hg2'
_cell_length_a 25.6061
_cell_length_b 4.9156
_cell_length_c 8.6593
_cell_angle_alpha 90.00
_cell_angle_beta 109.02
_cell_angle_gamma 90.00
_symmetry_space_group_name_H-M 'C 1 2/m 1'
_symmetry_Int_Tables_number 12
loop_
_symmetry_equiv_pos_as_xyz
'x,y,z'
'-x,-y,-z'
'-x,y,-z'
'x,-y,z'
'x+1/2,y+1/2,z'
'-x+1/2,-y+1/2,-z'
'-x+1/2,y+1/2,-z'
'x+1/2,-y+1/2,z'
loop_
_atom_site_label
_atom_site_type_symbol
_atom_site_fract_x
_atom_site_fract_y
_atom_site_fract_z
_atom_site_occupancy
K1 K 0.2483 0.0000 0.2533 1
Rb1 Rb 0.0869 0.0000 0.4282 1
Rb2 Rb 0.0938 0.5000 0.9203 1
Hg1 Hg 0.0000 0.0000 0.0000 1


# 13
# K2RbHg PBE relaxed
# * electronic total energy: -0.93 eV/atom
data_K2RbHg
_chemical_formula_sum 'K2 Rb1 Hg1'
_cell_length_a 5.9019
_cell_length_b 5.9019
_cell_length_c 6.1273
_cell_angle_alpha 90.00
_cell_angle_beta 90.00
_cell_angle_gamma 90.00
_symmetry_space_group_name_H-M 'P 4/m m m'
_symmetry_Int_Tables_number 123
_symmetry_space_group_name_Hall '-P 4 2'
loop_
_atom_site_label
_atom_site_type_symbol
_atom_site_fract_x
_atom_site_fract_y
_atom_site_fract_z
_atom_site_occupancy
K1 K 0.0000 0.5000 0.0000 1
Rb1 Rb 0.0000 0.0000 0.5000 1
Hg1 Hg 0.5000 0.5000 0.5000 1


# 14
# K5RbHg PBE relaxed
# * electronic total energy: -1.00 eV/atom
data_K5RbHg
_chemical_formula_sum 'K20 Rb4 Hg4'
_cell_length_a 11.3731
_cell_length_b 18.4006
_cell_length_c 9.3532
_cell_angle_alpha 90.00
_cell_angle_beta 109.27
_cell_angle_gamma 90.00
_symmetry_space_group_name_H-M 'C 1 2/c 1'
_symmetry_Int_Tables_number 15
loop_
_symmetry_equiv_pos_as_xyz
'x,y,z'
'-x,-y,-z'
'-x,y,-z+1/2'
'x,-y,z+1/2'
'x+1/2,y+1/2,z'
'-x+1/2,-y+1/2,-z'
'-x+1/2,y+1/2,-z+1/2'
'x+1/2,-y+1/2,z+1/2'
loop_
_atom_site_label
_atom_site_type_symbol
_atom_site_fract_x
_atom_site_fract_y
_atom_site_fract_z
_atom_site_occupancy
K1 K 0.0000 0.2202 0.2500 1
K2 K 0.1390 0.4145 0.6413 1
K3 K 0.2241 0.1612 0.8259 1
Rb1 Rb 0.0000 0.0000 0.0000 1
Hg1 Hg 0.0000 0.4204 0.2500 1


# 15
# KRb8Hg6 PBE relaxed
# * electronic total energy: -0.87 eV/atom
data_KRb8Hg6
_chemical_formula_sum 'K3 Rb24 Hg18'
_cell_length_a 10.7491
_cell_length_b 10.7491
_cell_length_c 23.2241
_cell_angle_alpha 90.00
_cell_angle_beta 90.00
_cell_angle_gamma 120.00
_symmetry_space_group_name_H-M 'R -3'
_symmetry_Int_Tables_number 148
_symmetry_space_group_name_Hall '-R 3'
loop_
_atom_site_label
_atom_site_type_symbol
_atom_site_fract_x
_atom_site_fract_y
_atom_site_fract_z
_atom_site_occupancy
K1 K 0.0000 0.0000 0.0000 1
Rb1 Rb 0.0000 0.0000 0.3332 1
Rb2 Rb 0.0001 0.3329 0.1140 1
Hg1 Hg 0.0000 0.3257 0.9520 1


# 16
# KRb8Hg2 PBE relaxed
# * electronic total energy: -0.93 eV/atom
data_KRb8Hg2
_chemical_formula_sum 'K2 Rb16 Hg4'
_cell_length_a 28.0888
_cell_length_b 5.4885
_cell_length_c 10.7784
_cell_angle_alpha 90.00
_cell_angle_beta 111.96
_cell_angle_gamma 90.00
_symmetry_space_group_name_H-M 'C 1 2/m 1'
_symmetry_Int_Tables_number 12
loop_
_symmetry_equiv_pos_as_xyz
'x,y,z'
'-x,-y,-z'
'-x,y,-z'
'x,-y,z'
'x+1/2,y+1/2,z'
'-x+1/2,-y+1/2,-z'
'-x+1/2,y+1/2,-z'
'x+1/2,-y+1/2,z'
loop_
_atom_site_label
_atom_site_type_symbol
_atom_site_fract_x
_atom_site_fract_y
_atom_site_fract_z
_atom_site_occupancy
K1 K 0.0000 0.0000 0.0000 1
Rb1 Rb 0.0509 0.5000 0.7310 1
Rb2 Rb 0.1088 0.0000 0.4658 1
Rb3 Rb 0.1838 0.0000 0.9477 1
Rb4 Rb 0.2080 0.5000 0.3161 1
Hg1 Hg 0.1946 0.5000 0.7011 1


# 17
# KRb2Hg PBE relaxed
# * electronic total energy: -0.89 eV/atom
data_KRb2Hg
_chemical_formula_sum 'K4 Rb8 Hg4'
_cell_length_a 11.5148
_cell_length_b 11.5148
_cell_length_c 7.8038
_cell_angle_alpha 90.00
_cell_angle_beta 90.00
_cell_angle_gamma 90.00
_symmetry_space_group_name_H-M 'I -4 2 d'
_symmetry_Int_Tables_number 122
_symmetry_space_group_name_Hall 'I -4 2bw'
loop_
_atom_site_label
_atom_site_type_symbol
_atom_site_fract_x
_atom_site_fract_y
_atom_site_fract_z
_atom_site_occupancy
K1 K 0.0000 0.0000 0.0000 1
Rb1 Rb 0.1740 0.2500 0.6250 1
Hg1 Hg 0.0000 0.0000 0.5000 1


# 18
# K5Rb4Hg4 PBE relaxed
# * electronic total energy: -0.96 eV/atom
data_K5Rb4Hg4
_chemical_formula_sum 'K10 Rb8 Hg8'
_cell_length_a 16.8074
_cell_length_b 16.8074
_cell_length_c 4.9234
_cell_angle_alpha 90.00
_cell_angle_beta 90.00
_cell_angle_gamma 90.00
_symmetry_space_group_name_H-M 'I 4/m'
_symmetry_Int_Tables_number 87
_symmetry_space_group_name_Hall '-I 4'
loop_
_atom_site_label
_atom_site_type_symbol
_atom_site_fract_x
_atom_site_fract_y
_atom_site_fract_z
_atom_site_occupancy
K1 K 0.0000 0.0000 0.0000 1
K2 K 0.1265 0.8295 0.5000 1
Rb1 Rb 0.1067 0.3739 0.5000 1
Hg1 Hg 0.0311 0.2228 0.0000 1


# 19
# KRbHg4 PBE relaxed
# * electronic total energy: -0.80 eV/atom
data_KRbHg4
_chemical_formula_sum 'K1 Rb1 Hg4'
_cell_length_a 4.0820
_cell_length_b 5.4605
_cell_length_c 9.4946
_cell_angle_alpha 90.00
_cell_angle_beta 90.00
_cell_angle_gamma 90.00
_symmetry_space_group_name_H-M 'P m m m'
_symmetry_Int_Tables_number 47
loop_
_symmetry_equiv_pos_as_xyz
'x,y,z'
'-x,-y,-z'
'-x,-y,z'
'x,y,-z'
'x,-y,-z'
'-x,y,z'
'-x,y,-z'
'x,-y,z'
loop_
_atom_site_label
_atom_site_type_symbol
_atom_site_fract_x
_atom_site_fract_y
_atom_site_fract_z
_atom_site_occupancy
K1 K 0.0000 0.0000 0.0000 1
Rb1 Rb 0.0000 0.5000 0.5000 1
Hg1 Hg 0.5000 0.0000 0.3290 1
Hg2 Hg 0.5000 0.5000 0.1632 1


no.,energy of formation from the pure elements (eV/f.u.)
1,-1.17
2,-0.32
3,0.18
4,-3.14
5,-1.18
6,-0.19
7,0.02
8,-0.22
9,-1.46
10,-1.98
11,-0.84
12,-0.30
13,-0.25
14,-0.27
15,-2.37
16,-0.83
17,-0.23
18,-1.86
19,-1.55